# 1
An optimized crystal structure of Pr2Ti2InRh5. Source: Alexandria, functional GGA-PBE.

Output
E_tot ... -7.01 eV/atom
Energy relative to the elements ... -0.521 eV/atom
Fermi-level density of states ... 0.475 states/eV/atom
Total magnetic moment ... 0.0 Bohr magnetons per cell
Crystal system ... tetragonal

abc: 3.679 10.175 10.175
angles: 90.00 90.00 90.00
Fractional coordinates of all 20 atoms:
In: 0.000 0.000 0.000
Ti: 0.000 0.115 0.615
Pr: 0.000 0.184 0.316
In: 0.000 0.500 0.500
Rh: 0.500 0.715 0.439
Rh: 0.500 0.939 0.215
Rh: 0.500 0.061 0.785
Pr: 0.000 0.816 0.684
Rh: 0.500 0.000 0.500
Rh: 0.500 0.785 0.939
Pr: 0.000 0.316 0.816
Ti: 0.000 0.385 0.115
Rh: 0.500 0.285 0.561
Rh: 0.500 0.500 0.000
Pr: 0.000 0.684 0.184
Ti: 0.000 0.885 0.385
Ti: 0.000 0.615 0.885
Rh: 0.500 0.561 0.715
Rh: 0.500 0.215 0.061
Rh: 0.500 0.439 0.285


# 2
An optimized crystal structure of KYPb. Source: Alexandria, functional GGA-PBE.

Output
E_tot ... -3.74 eV/atom
Distance to the lowest polymorph of the same formula ... 6.98 kcal/mol of atoms
Energy relative to the elements ... 0.013 eV/atom
Fermi-level density of states ... 0.004 states/eV/atom
Total magnetic moment ... 0.0 Bohr magnetons per cell
Crystal system ... hexagonal

abc: 5.590 5.590 3.951
angles: 90.00 90.00 120.00
Fractional coordinates of all 3 atoms:
Y: 0.000 0.000 0.000
K: 0.667 0.333 0.500
Pb: 0.333 0.667 0.000


# 3
An optimized crystal structure of Ho2Ga6Tc. Source: Alexandria, functional GGA-PBE.

Output
E_tot ... -4.64 eV/atom
Energy relative to the elements ... -0.457 eV/atom
Fermi-level density of states ... 0.530 states/eV/atom
Total magnetic moment ... 0.0 Bohr magnetons per cell
Crystal system ... trigonal

abc: 5.776 5.783 5.783
angles: 59.99 90.01 90.01
Fractional coordinates of all 9 atoms:
Ga: 0.322 0.350 0.825
Ga: 0.678 0.175 0.175
Tc: 0.000 0.000 0.000
Ga: 0.322 0.825 0.350
Ho: 0.845 0.667 0.667
Ga: 0.678 0.175 0.650
Ga: 0.322 0.825 0.825
Ga: 0.678 0.650 0.175
Ho: 0.155 0.333 0.333


# 4
An optimized crystal structure of AlZnW. Source: Alexandria, functional GGA-PBE.

Output
E_tot ... -5.08 eV/atom
Distance to the lowest polymorph of the same formula ... 18.12 kcal/mol of atoms
Energy relative to the elements ... 0.907 eV/atom
Fermi-level density of states ... 1.142 states/eV/atom
Total magnetic moment ... 0.0 Bohr magnetons per cell
Crystal system ... cubic

abc: 4.300 4.300 4.300
angles: 60.00 60.00 60.00
Fractional coordinates of all 3 atoms:
W: 0.750 0.750 0.750
Al: 0.500 0.500 0.500
Zn: 0.000 0.000 0.000